{"formula": "Tb6Ho2Er3Tl", "functional": "PBE", "state": "optimized geometry", "dft_energy_ev_per_atom": -4.43, "volume_a3_per_cell": 367, "space_group": "C2/m (12)", "lattice_angstrom": [[3.042, -5.276, 0.000], [3.042, 5.276, 0.000], [-2.047, 0.000, 11.430]], "species": ["Tb", "Tb", "Tb", "Tb", "Tb", "Tb", "Ho", "Ho", "Er", "Er", "Er", "Tl"], "frac_coords": [[0.082, 0.412, 0.749], [0.247, 0.247, 0.250], [0.412, 0.082, 0.749], [0.588, 0.918, 0.251], [0.753, 0.753, 0.750], [0.918, 0.588, 0.251], [0.334, 0.666, 0.500], [0.666, 0.334, 0.500], [0.167, 0.833, 0.000], [0.500, 0.500, 0.000], [0.833, 0.167, 0.000], [0.000, 0.000, 0.500]]}

---

{"formula": "Tb3Ho2Er6Tl", "functional": "PBE", "state": "optimized geometry", "dft_energy_ev_per_atom": -4.41, "volume_a3_per_cell": 362, "space_group": "C2/m (12)", "lattice_angstrom": [[3.029, -5.250, 0.000], [3.029, 5.250, 0.000], [-2.043, 0.000, 11.390]], "species": ["Tb", "Tb", "Tb", "Ho", "Ho", "Er", "Er", "Er", "Er", "Er", "Er", "Tl"], "frac_coords": [[0.000, 0.000, 0.000], [0.333, 0.667, 0.000], [0.667, 0.333, 0.000], [0.166, 0.834, 0.500], [0.834, 0.166, 0.500], [0.089, 0.419, 0.253], [0.251, 0.251, 0.748], [0.419, 0.089, 0.253], [0.581, 0.911, 0.747], [0.749, 0.749, 0.252], [0.911, 0.581, 0.747], [0.500, 0.500, 0.500]]}

---

{"formula": "TbHoErTl", "functional": "PBE", "state": "optimized geometry", "dft_energy_ev_per_atom": -4.21, "volume_a3_per_cell": 113, "space_group": "Pmmm (47)", "lattice_angstrom": [[4.826, 0.000, 0.000], [0.000, 4.838, 0.000], [0.000, 0.000, 4.845]], "species": ["Tb", "Ho", "Er", "Tl"], "frac_coords": [[0.000, 0.000, 0.000], [0.500, 0.500, 0.000], [0.500, 0.000, 0.500], [0.000, 0.500, 0.500]]}

---

{"formula": "Tb6HoEr3Tm2", "functional": "PBE", "state": "optimized geometry", "dft_energy_ev_per_atom": -4.56, "volume_a3_per_cell": 371, "space_group": "C2/m (12)", "lattice_angstrom": [[3.055, -5.285, 0.000], [3.055, 5.285, 0.000], [-2.027, 0.000, 11.478]], "species": ["Tb", "Tb", "Tb", "Tb", "Tb", "Tb", "Ho", "Er", "Er", "Er", "Tm", "Tm"], "frac_coords": [[0.084, 0.417, 0.750], [0.250, 0.250, 0.250], [0.417, 0.084, 0.750], [0.583, 0.916, 0.250], [0.750, 0.750, 0.750], [0.916, 0.583, 0.250], [0.000, 0.000, 0.500], [0.167, 0.833, 0.000], [0.500, 0.500, 0.000], [0.833, 0.167, 0.000], [0.333, 0.667, 0.500], [0.667, 0.333, 0.500]]}